Model one:
Compound: LiErSi2
Source: the Alexandria database
Functional: PBE
Structure: relaxed

Calculated values
D(E_F)	3.39	states/eV per cell
symmetry	Pnma

extended XYZ file:
```
16
Lattice="4.093 0.000 0.000 0.000 6.567 0.000 0.000 0.000 10.733" Properties=species:S:1:pos:R:3 pbc="T T T"
Si 3.069 2.156 6.767
Si 3.069 5.439 9.332
Er 1.023 0.989 9.044
Si 1.023 3.469 1.798
Si 3.069 3.098 8.935
Er 3.069 2.294 3.678
Si 1.023 4.411 3.965
Er 3.069 5.578 1.689
Si 1.023 0.185 3.568
Li 1.023 0.919 5.941
Si 1.023 1.127 1.401
Li 1.023 4.202 10.158
Li 3.069 5.648 4.792
Li 3.069 2.365 0.574
Er 1.023 4.272 7.055
Si 3.069 6.381 7.164
```


Model two:
Compound: LiErSi2
Source: the Alexandria database
Functional: PBE
Structure: relaxed

Calculated values
D(E_F)	0.93	states/eV per cell
symmetry	P4/mmm

extended XYZ file:
```
4
Lattice="-3.950 1.175 -0.179 -0.478 -1.006 3.950 1.082 3.804 1.099" Properties=species:S:1:pos:R:3 pbc="T T T"
Er -1.975 0.588 -0.090
Si -0.239 -0.503 1.975
Si 0.541 1.902 0.550
Li -1.673 1.987 2.435
```


Which of them is the least stable? Correct choice: model two.


Model one:
Compound: Li6ErSn6
Source: the Alexandria database
Functional: PBE
Structure: relaxed

Calculated values
D(E_F)	5.18	states/eV per cell
symmetry	Immm

extended XYZ file:
```
13
Lattice="5.226 0.000 2.282 2.365 6.828 1.708 -0.129 -0.230 7.420" Properties=species:S:1:pos:R:3 pbc="T T T"
Sn 1.504 4.390 3.680
Li 3.111 1.544 7.125
Li -0.064 -0.115 3.710
Sn 2.131 1.064 2.245
Li 4.351 5.053 4.285
Sn 5.332 5.533 9.165
Li 1.183 3.414 0.854
Sn 4.234 2.189 4.554
Li 2.549 -0.115 4.851
Li 3.796 3.414 1.995
Er 0.000 0.000 0.000
Sn 0.732 2.207 5.448
Sn 3.229 4.408 6.856
```


Model two:
Compound: Li6ErSn6
Source: the Alexandria database
Functional: PBE
Structure: relaxed

Calculated values
D(E_F)	4.18	states/eV per cell
symmetry	P6/mmm

extended XYZ file:
```
13
Lattice="-1.030 -3.233 -4.689 5.328 0.223 2.249 -1.998 -7.272 5.453" Properties=species:S:1:pos:R:3 pbc="T T T"
Sn -0.691 -2.515 1.886
Li -1.006 -3.406 -1.003
Sn 2.210 -4.565 2.663
Sn 1.090 -2.081 -2.376
Sn 3.209 -0.929 -0.063
Sn 0.091 -5.717 0.350
Li 1.658 -3.294 0.122
Er 0.000 0.000 0.000
Sn -1.307 -4.757 3.567
Li -2.021 -7.099 1.766
Li 2.173 -1.678 2.467
Li 0.643 -6.987 2.891
Li 1.158 -5.371 5.236
```


Which of them is the least stable? Correct choice: model two.


Model one:
Compound: LiErSn3
Source: the Alexandria database
Functional: PBE
Structure: relaxed

Calculated values
D(E_F)	11.05	states/eV per cell
symmetry	P2/c

extended XYZ file:
```
20
Lattice="-1.934 2.687 -5.160 4.030 -3.330 -3.256 -8.882 -9.280 -1.503" Properties=species:S:1:pos:R:3 pbc="T T T"
Sn -7.758 -8.484 -3.842
Sn -4.952 -3.997 -2.046
Er -0.698 -4.052 -5.465
Sn -4.458 -7.958 -6.125
Sn -1.315 0.602 -5.168
Li -7.353 -7.922 -6.838
Li -9.367 -6.256 -5.209
Sn 0.972 -1.439 -6.077
Li -1.449 -0.337 -1.453
Sn -3.853 -4.264 -6.245
Er -1.763 -3.706 -1.306
Er -5.023 -6.216 -8.613
Li 0.567 -2.001 -3.081
Sn -2.934 -5.658 -3.673
Sn -2.328 -1.964 -3.793
Sn 0.653 -4.972 -2.844
Sn -5.472 -10.525 -4.751
Sn -7.440 -4.951 -7.075
Sn -5.864 -2.596 -4.617
Er -6.088 -5.871 -4.454
```


Model two:
Compound: LiErSn3
Source: the Alexandria database
Functional: PBE
Structure: relaxed

Calculated values
D(E_F)	4.85	states/eV per cell
symmetry	C2/m

extended XYZ file:
```
10
Lattice="-4.039 1.714 -1.463 3.792 -3.344 -7.075 -2.755 -5.417 1.259" Properties=species:S:1:pos:R:3 pbc="T T T"
Li -1.430 -5.189 -2.133
Sn -4.295 -5.140 -1.476
Sn -2.937 -4.426 -4.390
Sn 1.293 -1.906 -5.803
Er -2.987 -2.295 -1.754
Sn -0.065 -2.620 -2.889
Li -1.573 -1.857 -5.146
Sn -2.040 -4.146 0.774
Sn -0.962 -2.900 -8.054
Er -0.015 -4.751 -5.525
```


Which of them is the least stable? Correct choice: model two.


Model one:
Compound: Li3ErSn3
Source: the Alexandria database
Functional: PBE
Structure: relaxed

Calculated values
D(E_F)	7.22	states/eV per cell
symmetry	R-3

extended XYZ file:
```
14
Lattice="-4.735 -0.110 6.789 -3.254 -7.132 2.662 2.067 -3.346 6.434" Properties=species:S:1:pos:R:3 pbc="T T T"
Sn -5.778 -7.374 8.001
Sn -1.030 -8.209 7.742
Li -3.243 -7.504 6.166
Sn -3.042 -5.380 11.443
Er -0.616 -5.756 9.571
Li -2.679 -3.084 9.720
Li -3.360 -7.719 9.385
Sn -4.893 -2.379 8.144
Li -5.209 -5.089 9.683
Li -2.562 -2.869 6.501
Sn -2.880 -5.208 4.442
Li -0.713 -5.499 6.203
Sn -0.144 -3.214 7.884
Er -5.306 -4.832 6.315
```


Model two:
Compound: Li3ErSn3
Source: the Alexandria database
Functional: PBE
Structure: relaxed

Calculated values
D(E_F)	12.39	states/eV per cell
symmetry	Pm-3n

extended XYZ file:
```
14
Lattice="-5.018 -3.258 -3.806 -0.968 -4.655 5.261 -4.916 4.242 2.850" Properties=species:S:1:pos:R:3 pbc="T T T"
Er 0.000 0.000 0.000
Li -1.713 -1.267 3.343
Sn -3.184 -1.370 5.371
Li -2.751 -2.793 -0.588
Sn -3.738 -0.568 -1.191
Sn -4.248 -4.771 -0.224
Er -5.451 -1.835 2.152
Li -3.235 -5.120 2.042
Sn -1.738 -3.142 1.679
Sn -6.196 1.553 0.234
Li -3.712 1.307 0.473
Li -4.171 0.854 4.768
Sn -2.700 0.957 2.740
Li -6.222 -0.322 -1.430
```


Which of them is the least stable? Correct choice: model two.